(1)
Density functional theory data (PBE-GGA) for a relaxed structure of TiInSn3.

Lattice parameters (Å, degrees): 5.510 5.510 5.510 90.00 90.00 90.00
Sites, in units of the cell vectors:
Ti (0.000, 0.000, 0.000)
In (0.500, 0.500, 0.500)
Sn (0.000, 0.500, 0.500)
Sn (0.500, 0.000, 0.500)
Sn (0.500, 0.500, 0.000)

Values from the calculation:
For the energy of formation, the calculation gives 24.88 kcal/mol of atoms. The symmetry is Pm-3m. The energy relative to the lowest polymorph listed for this composition comes out at 952 meV/atom.

(2)
Density functional theory data (PBE-GGA) for a relaxed structure of Ti12InSn3.

Lattice parameters (Å, degrees): 5.235 5.235 10.487 90.00 90.00 90.00
Sites, in units of the cell vectors:
Ti (0.000, 0.000, 0.123)
Ti (0.000, 0.000, 0.374)
Ti (0.000, 0.000, 0.626)
Ti (0.000, 0.000, 0.877)
Ti (0.250, 0.500, 0.000)
Ti (0.250, 0.500, 0.500)
Ti (0.500, 0.250, 0.251)
Ti (0.500, 0.250, 0.749)
Ti (0.500, 0.750, 0.251)
Ti (0.500, 0.750, 0.749)
Ti (0.750, 0.500, 0.000)
Ti (0.750, 0.500, 0.500)
In (0.500, 0.000, 0.000)
Sn (0.000, 0.500, 0.250)
Sn (0.000, 0.500, 0.750)
Sn (0.500, 0.000, 0.500)

Values from the calculation:
For the energy of formation, the calculation gives -5.69 kcal/mol of atoms. The symmetry is Pmmm.

(3)
Density functional theory data (PBE-GGA) for a relaxed structure of TiIn2Sn2.

Lattice parameters (Å, degrees): 7.537 7.537 4.382 90.00 90.00 90.00
Sites, in units of the cell vectors:
Ti (0.000, 0.000, 0.000)
Ti (0.500, 0.500, 0.000)
In (0.162, 0.338, 0.500)
In (0.338, 0.838, 0.500)
In (0.662, 0.162, 0.500)
In (0.838, 0.662, 0.500)
Sn (0.149, 0.649, 0.000)
Sn (0.351, 0.149, 0.000)
Sn (0.649, 0.851, 0.000)
Sn (0.851, 0.351, 0.000)

Values from the calculation:
For the energy of formation, the calculation gives 3.90 kcal/mol of atoms. The symmetry is P4/mbm.

(4)
Density functional theory data (PBE-GGA) for a relaxed structure of Ti6In3Sn.

Lattice parameters (Å, degrees): 6.935 6.935 6.935 113.80 113.80 113.80
Sites, in units of the cell vectors:
Ti (0.076, 0.076, 0.849)
Ti (0.076, 0.849, 0.076)
Ti (0.210, 0.210, 0.606)
Ti (0.210, 0.606, 0.210)
Ti (0.606, 0.210, 0.210)
Ti (0.849, 0.076, 0.076)
In (0.193, 0.677, 0.677)
In (0.677, 0.193, 0.677)
In (0.677, 0.677, 0.193)
Sn (0.508, 0.508, 0.508)

Values from the calculation:
For the energy of formation, the calculation gives 3.91 kcal/mol of atoms. The symmetry is R3m.

(5)
Density functional theory data (PBE-GGA) for a relaxed structure of Tl2In4Sn3.

Lattice parameters (Å, degrees): 10.499 10.499 5.340 93.62 93.62 61.91
Sites, in units of the cell vectors:
Tl (0.003, 0.200, 0.261)
Tl (0.200, 0.003, 0.761)
Tl (0.800, 0.997, 0.239)
Tl (0.997, 0.800, 0.739)
In (0.148, 0.345, 0.853)
In (0.338, 0.522, 0.906)
In (0.345, 0.148, 0.353)
In (0.478, 0.662, 0.594)
In (0.522, 0.338, 0.406)
In (0.655, 0.852, 0.647)
In (0.662, 0.478, 0.094)
In (0.852, 0.655, 0.147)
Sn (0.170, 0.511, 0.376)
Sn (0.192, 0.808, 0.250)
Sn (0.489, 0.830, 0.124)
Sn (0.511, 0.170, 0.876)
Sn (0.808, 0.192, 0.750)
Sn (0.830, 0.489, 0.624)

Values from the calculation:
For the energy of formation, the calculation gives 1.12 kcal/mol of atoms. The symmetry is C2/c. The energy relative to the lowest polymorph listed for this composition comes out at 8 meV/atom.

(6)
Density functional theory data (PBE-GGA) for a relaxed structure of Tl5In6Sn2.

Lattice parameters (Å, degrees): 7.422 7.639 8.056 107.55 109.93 105.33
Sites, in units of the cell vectors:
Tl (0.000, 0.000, 0.000)
Tl (0.305, 0.926, 0.769)
Tl (0.377, 0.154, 0.462)
Tl (0.623, 0.846, 0.538)
Tl (0.695, 0.074, 0.231)
In (0.156, 0.466, 0.388)
In (0.226, 0.687, 0.079)
In (0.464, 0.391, 0.155)
In (0.536, 0.609, 0.845)
In (0.774, 0.313, 0.921)
In (0.844, 0.534, 0.612)
Sn (0.083, 0.254, 0.705)
Sn (0.917, 0.746, 0.295)

Values from the calculation:
For the energy of formation, the calculation gives 0.53 kcal/mol of atoms. The symmetry is P-1.

(7)
Density functional theory data (PBE-GGA) for a relaxed structure of Tl2In4Sn3.

Lattice parameters (Å, degrees): 9.005 9.005 9.695 90.00 90.00 137.01
Sites, in units of the cell vectors:
Tl (0.104, 0.896, 0.928)
Tl (0.396, 0.604, 0.428)
Tl (0.604, 0.396, 0.572)
Tl (0.896, 0.104, 0.072)
In (0.182, 0.818, 0.520)
In (0.199, 0.301, 0.750)
In (0.301, 0.199, 0.250)
In (0.318, 0.682, 0.020)
In (0.682, 0.318, 0.980)
In (0.699, 0.801, 0.750)
In (0.801, 0.699, 0.250)
In (0.818, 0.182, 0.480)
Sn (0.000, 0.000, 0.500)
Sn (0.017, 0.483, 0.750)
Sn (0.483, 0.017, 0.250)
Sn (0.500, 0.500, 0.000)
Sn (0.517, 0.983, 0.750)
Sn (0.983, 0.517, 0.250)

Values from the calculation:
For the energy of formation, the calculation gives 0.93 kcal/mol of atoms. The symmetry is Cmce. The energy relative to the lowest polymorph listed for this composition comes out at 0 meV/atom.

(8)
Density functional theory data (PBE-GGA) for a relaxed structure of Tl4InSn5.

Lattice parameters (Å, degrees): 3.374 3.374 25.455 90.00 90.00 90.00
Sites, in units of the cell vectors:
Tl (0.000, 0.000, 0.101)
Tl (0.000, 0.000, 0.305)
Tl (0.000, 0.000, 0.695)
Tl (0.000, 0.000, 0.899)
In (0.000, 0.000, 0.500)
Sn (0.500, 0.500, 0.000)
Sn (0.500, 0.500, 0.203)
Sn (0.500, 0.500, 0.406)
Sn (0.500, 0.500, 0.594)
Sn (0.500, 0.500, 0.797)

Values from the calculation:
For the energy of formation, the calculation gives 0.96 kcal/mol of atoms. The symmetry is P4/mmm.

(9)
Density functional theory data (PBE-GGA) for a relaxed structure of TlIn2Sn.

Lattice parameters (Å, degrees): 5.425 5.425 5.425 60.00 60.00 60.00
Sites, in units of the cell vectors:
Tl (0.000, 0.000, 0.000)
In (0.250, 0.250, 0.250)
In (0.750, 0.750, 0.750)
Sn (0.500, 0.500, 0.500)

Values from the calculation:
For the energy of formation, the calculation gives 0.66 kcal/mol of atoms. The symmetry is Fm-3m. The energy relative to the lowest polymorph listed for this composition comes out at 5 meV/atom.

(10)
Density functional theory data (PBE-GGA) for a relaxed structure of Tl3InSn8.

Lattice parameters (Å, degrees): 10.809 10.809 10.809 34.46 34.46 34.46
Sites, in units of the cell vectors:
Tl (0.000, 0.000, 0.000)
Tl (0.123, 0.123, 0.123)
Tl (0.623, 0.623, 0.623)
In (0.501, 0.501, 0.501)
Sn (0.062, 0.062, 0.560)
Sn (0.062, 0.560, 0.062)
Sn (0.064, 0.562, 0.562)
Sn (0.312, 0.312, 0.312)
Sn (0.560, 0.062, 0.062)
Sn (0.562, 0.064, 0.562)
Sn (0.562, 0.562, 0.064)
Sn (0.812, 0.812, 0.812)

Values from the calculation:
For the energy of formation, the calculation gives 1.32 kcal/mol of atoms. The symmetry is R3m.

(11)
Density functional theory data (PBE-GGA) for a relaxed structure of TlIn2Sn2.

Lattice parameters (Å, degrees): 8.978 8.978 3.595 90.00 90.00 90.00
Sites, in units of the cell vectors:
Tl (0.000, 0.000, 0.000)
Tl (0.500, 0.500, 0.000)
In (0.141, 0.359, 0.000)
In (0.359, 0.859, 0.000)
In (0.641, 0.141, 0.000)
In (0.859, 0.641, 0.000)
Sn (0.155, 0.655, 0.500)
Sn (0.345, 0.155, 0.500)
Sn (0.655, 0.845, 0.500)
Sn (0.845, 0.345, 0.500)

Values from the calculation:
For the energy of formation, the calculation gives 1.07 kcal/mol of atoms. The symmetry is P4/mbm. The energy relative to the lowest polymorph listed for this composition comes out at 19 meV/atom.

(12)
Density functional theory data (PBE-GGA) for a relaxed structure of TlIn2Sn4.

Lattice parameters (Å, degrees): 6.724 6.724 6.265 116.19 116.19 98.23
Sites, in units of the cell vectors:
Tl (0.000, 0.000, 0.000)
In (0.505, 0.495, 0.000)
In (0.999, 0.001, 0.500)
Sn (0.085, 0.541, 0.092)
Sn (0.459, 0.915, 0.908)
Sn (0.535, 0.083, 0.525)
Sn (0.917, 0.465, 0.475)

Values from the calculation:
For the energy of formation, the calculation gives 2.17 kcal/mol of atoms. The symmetry is C2. The energy relative to the lowest polymorph listed for this composition comes out at 0 meV/atom.

Summary of calculated volume in Å³/atom
33.45 17.96 24.89 20.56 28.77 28.73 29.78 28.98 28.23 30.06 28.98 29.57
(order as listed above)